This record from the Alexandria database describes a relaxed Cd2AuBr crystal. The functional is PBE-GGA.

```
4
Lattice="6.859 0.037 0.087 -3.016 4.383 -0.051 0.828 1.357 3.172" Properties=species:S:1:pos:R:3 pbc="T T T"
Cd 3.843 0.697 1.630
Br 1.922 2.210 0.018
Cd 0.000 0.000 0.000
Au -1.094 2.870 1.561
```

Properties
V: 96 Å³ per cell
Energy relative to the lowest polymorph listed for this composition: 0.193 eV per atom
Crystal system: monoclinic
Space group: C2/m, No. 12
Raw total energy: -7.0 eV/cell
Raw formation energy: -60 meV per atom

This record from the Alexandria database describes a relaxed PmZn7Au12 crystal. The functional is PBE-GGA.

```
20
Lattice="8.288 0.000 0.000 -2.763 7.814 0.000 -2.763 -3.907 6.767" Properties=species:S:1:pos:R:3 pbc="T T T"
Au -2.070 -1.092 5.707
Pm 0.000 0.000 0.000
Zn 2.763 -1.953 3.383
Au -3.102 4.029 4.859
Au 4.832 4.999 1.059
Au 3.102 -2.194 5.918
Zn -2.763 1.953 3.383
Au 5.865 -0.122 1.908
Au 0.340 2.315 5.707
Zn -1.381 3.907 0.000
Au 3.455 1.582 4.859
Zn 2.763 3.907 0.000
Au -0.693 2.325 1.908
Au 2.423 1.591 1.059
Au 2.070 4.397 3.799
Au 0.693 -0.490 2.967
Zn 1.381 1.953 3.383
Zn -1.381 -1.953 3.383
Zn 4.144 0.000 0.000
Au -0.340 6.100 0.848
```

Properties
V: 438 Å³ per cell
Energy of formation from the pure elements: -0.0342 eV/atom
Crystal system: cubic
Space group: Im-3, No. 204
Raw total energy: -53.7 eV/cell

This record from the Alexandria database describes a relaxed Pr6Ni2I3N crystal. The functional is PBE-GGA.

```
12
Lattice="-0.402 -0.444 -6.949 -5.493 -1.769 3.917 -0.737 8.295 0.666" Properties=species:S:1:pos:R:3 pbc="T T T"
I -4.995 2.604 2.400
Pr -4.447 5.255 -3.510
N 0.000 0.000 0.000
Pr -4.580 -0.135 -2.163
I -1.637 3.478 -4.766
Pr -6.016 4.847 -0.161
Pr -2.052 6.216 -0.203
Ni -2.105 -0.888 -3.315
Pr -0.616 1.235 -2.205
Ni -3.791 -1.326 0.283
Pr -2.185 0.827 1.144
I -3.316 3.041 -1.183
```

Properties
V: 339 Å³ per cell
Crystal system: monoclinic
Space group: C2/m, No. 12
Raw total energy: -62.7 eV/cell
Raw formation energy: -787 meV per atom

This record from the Alexandria database describes a relaxed KPtCl2 crystal. The functional is PBE-GGA.

```
4
Lattice="4.758 0.000 0.000 0.000 4.418 -0.083 0.000 0.134 4.982" Properties=species:S:1:pos:R:3 pbc="T T T"
Pt 2.379 0.276 4.350
Cl 2.379 0.118 1.861
K 0.000 2.234 1.841
Cl 0.000 4.335 4.280
```

Properties
V: 105 Å³ per cell
Energy relative to the lowest polymorph listed for this composition: 0.000 eV per atom
Crystal system: monoclinic
Space group: Pm, No. 6
Raw total energy: -14.0 eV/cell
Raw formation energy: -801 meV per atom

This record from the Alexandria database describes a relaxed SrCaSb2 crystal. The functional is PBE-GGA.

```
4
Lattice="4.354 0.000 0.000 0.000 3.846 0.020 0.000 3.806 7.415" Properties=species:S:1:pos:R:3 pbc="T T T"
Sr 2.177 1.913 1.859
Ca 2.177 5.739 5.576
Sb 0.000 3.806 7.283
Sb 0.000 3.825 3.850
```

Properties
V: 124 Å³ per cell
Energy relative to the lowest polymorph listed for this composition: 0.000 eV per atom
Crystal system: orthorhombic
Space group: Pmmm, No. 47
Raw total energy: -15.2 eV/cell
Raw formation energy: -824 meV per atom

This record from the Alexandria database describes a relaxed Rb3Ag2Hg9 crystal. The functional is PBE-GGA.

```
14
Lattice="-4.012 1.019 -2.864 -7.192 -5.462 3.708 -5.376 6.184 5.308" Properties=species:S:1:pos:R:3 pbc="T T T"
Hg -11.716 -1.203 2.713
Hg -6.284 0.361 4.508
Hg -10.921 3.893 3.414
Rb 0.000 0.000 0.000
Rb -9.883 0.815 5.288
Hg -3.213 2.078 0.817
Ag -7.883 3.476 3.434
Hg -3.718 -1.160 0.372
Rb -6.696 0.926 0.863
Hg -13.367 -0.337 5.335
Hg -12.862 2.902 5.780
Ag -8.696 -1.735 2.718
Hg -4.864 2.945 3.438
Hg -5.659 -2.152 2.738
```

Properties
V: 438 Å³ per cell
Energy of formation from the pure elements: -0.1541 eV/atom
Crystal system: orthorhombic
Space group: Immm, No. 71
Raw total energy: -13.5 eV/cell

This record from the Alexandria database describes a relaxed Zr2CdS2 crystal. The functional is PBE-GGA.

```
10
Lattice="-0.316 -6.131 -4.459 7.006 -1.941 2.172 -1.260 -1.753 2.500" Properties=species:S:1:pos:R:3 pbc="T T T"
S 3.800 -2.965 2.019
S 0.226 -3.362 -0.062
Zr 5.860 -3.814 0.280
Zr 4.269 -6.482 -2.394
Zr 0.830 -4.258 -2.568
S 1.630 -6.860 -1.807
Cd 0.000 0.000 0.000
Cd 3.345 -4.036 -1.144
S 5.204 -6.463 0.273
Zr 2.421 -1.589 0.106
```

Properties
V: 190 Å³ per cell
Energy relative to the lowest polymorph listed for this composition: 0.000 eV per atom
Crystal system: tetragonal
Space group: P4/mbm, No. 127
Raw total energy: -60.9 eV/cell
Raw formation energy: -835 meV per atom

This record from the Alexandria database describes a relaxed BaSr2P crystal. The functional is PBE-GGA.

```
4
Lattice="3.968 0.000 0.000 0.000 3.968 0.000 0.000 0.000 10.674" Properties=species:S:1:pos:R:3 pbc="T T T"
Sr 1.984 1.984 2.521
Ba 0.000 0.000 6.368
Sr 0.000 0.000 9.656
P 1.984 1.984 8.142
```

Properties
V: 168 Å³ per cell
Energy of formation from the pure elements: -0.4894 eV/atom
Crystal system: tetragonal
Space group: P4mm, No. 99
Raw total energy: -12.7 eV/cell

This record from the Alexandria database describes a relaxed HfNiB2 crystal. The functional is PBE-GGA.

```
4
Lattice="0.000 2.786 2.786 2.786 0.000 2.786 2.786 2.786 0.000" Properties=species:S:1:pos:R:3 pbc="T T T"
B 4.180 4.180 4.180
B 1.393 1.393 1.393
Hf 2.786 2.786 2.786
Ni 0.000 0.000 0.000
```

Properties
V: 43 Å³ per cell
Energy of formation from the pure elements: 0.1481 eV/atom
Energy relative to the lowest polymorph listed for this composition: 0.897 eV per atom
Crystal system: cubic
Space group: Fm-3m, No. 225
Raw total energy: -28.5 eV/cell

This record from the Alexandria database describes a relaxed AgPtCl2 crystal. The functional is PBE-GGA.

```
4
Lattice="-2.587 1.153 2.136 -3.418 -1.376 -3.397 -0.998 -4.758 1.359" Properties=species:S:1:pos:R:3 pbc="T T T"
Ag -4.606 -4.024 -0.460
Pt -2.397 -0.957 0.559
Cl -2.014 -2.801 -0.928
Cl -0.194 -0.266 -0.091
```

Properties
V: 88 Å³ per cell
Energy relative to the lowest polymorph listed for this composition: 0.175 eV per atom
Crystal system: monoclinic
Space group: P2/m, No. 10
Raw total energy: -12.4 eV/cell
Raw formation energy: 51 meV per atom

This record from the Alexandria database describes a relaxed RbFeNiBr2 crystal. The functional is PBE-GGA.

```
5
Lattice="-1.097 -4.161 2.543 4.748 -1.505 -0.415 1.686 3.526 6.497" Properties=species:S:1:pos:R:3 pbc="T T T"
Ni 2.669 -1.070 4.312
Rb 0.843 1.763 3.249
Br -0.548 -2.080 1.271
Fe 0.000 0.000 0.000
Br 2.374 -0.753 -0.208
```

Properties
V: 189 Å³ per cell
Crystal system: tetragonal
Space group: P4/mmm, No. 123
Raw total energy: -16.2 eV/cell
Raw formation energy: 471 meV per atom

This record from the Alexandria database describes a relaxed SiSnTe2 crystal. The functional is PBE-GGA.

```
4
Lattice="1.888 0.000 11.574 -0.944 1.635 11.574 -0.944 -1.635 11.574" Properties=species:S:1:pos:R:3 pbc="T T T"
Sn 0.000 0.000 17.361
Te 0.000 0.000 31.908
Te 0.000 0.000 2.814
Si 0.000 0.000 0.000
```

Properties
V: 107 Å³ per cell
Energy relative to the lowest polymorph listed for this composition: 0.321 eV per atom
Crystal system: trigonal
Space group: R-3m, No. 166
Raw total energy: -14.0 eV/cell
Raw formation energy: 437 meV per atom

This record from the Alexandria database describes a relaxed AlTcMo2 crystal. The functional is PBE-GGA.

```
4
Lattice="-3.664 -2.125 -2.906 -0.924 -2.390 -4.453 -0.284 -4.377 0.245" Properties=species:S:1:pos:R:3 pbc="T T T"
Al -3.667 -6.668 -5.359
Tc -2.462 -4.448 -3.602
Mo -4.551 -4.514 -7.293
Mo -1.217 -2.222 -1.776
```

Properties
V: 61 Å³ per cell
Energy of formation from the pure elements: -0.1514 eV/atom
Crystal system: orthorhombic
Space group: Imm2, No. 44
Raw total energy: -36.4 eV/cell

This record from the Alexandria database describes a relaxed MgTlIn2 crystal. The functional is PBE-GGA.

```
4
Lattice="10.584 -0.019 -0.011 10.033 3.371 -0.011 10.033 1.632 2.950" Properties=species:S:1:pos:R:3 pbc="T T T"
In 30.495 4.959 2.914
In 15.481 2.517 1.479
Mg 7.663 1.246 0.732
Tl 22.988 3.738 2.196
```

Properties
V: 106 Å³ per cell
Energy of formation from the pure elements: -0.0087 eV/atom
Crystal system: trigonal
Space group: R-3m, No. 166
Raw total energy: -9.5 eV/cell

This record from the Alexandria database describes a relaxed Pm3DyY2As6 crystal. The functional is PBE-GGA.

```
12
Lattice="-3.353 1.657 1.874 1.293 -4.899 6.646 6.477 6.657 1.031" Properties=species:S:1:pos:R:3 pbc="T T T"
Pm -1.030 -1.621 4.260
As 0.020 2.874 2.163
As 0.688 0.507 5.450
Y 2.387 2.554 6.680
Dy -1.676 0.829 0.937
Pm 1.739 5.001 3.357
Y 2.031 0.862 2.870
As 0.331 -1.183 1.639
As 4.086 4.599 7.912
Pm 2.678 -1.585 6.194
As 4.397 0.542 7.387
As 3.730 2.909 4.100
```

Properties
V: 310 Å³ per cell
Energy of formation from the pure elements: -1.5356 eV/atom
Crystal system: monoclinic
Space group: C2/m, No. 12
Raw total energy: -78.1 eV/cell